LiAc2VO6 | PBE with a Hubbard U | relaxed

abc: 4.1490 5.5475 5.5475
angles: 90.00 90.00 90.00
Closest atoms and distances in Å follow each position.
Atoms (fractional coordinates):
Li (0.6404, 0.5000, 0.5000)  6 O 2.02-2.13
Ac (0.1003, 0.5000, 0.0000)  8 O 2.65-2.79
Ac (0.1003, 0.0000, 0.5000)  8 O 2.65-2.79
V (0.6013, 0.0000, 0.0000)  5 O 1.80-1.84
O (0.6709, 0.2322, 0.2322)  1 V 1.84
O (0.6709, 0.2322, 0.7678)  1 V 1.84
O (0.1531, 0.5000, 0.5000)  2 Li 2.02-2.13
O (0.1681, 0.0000, 0.0000)  1 V 1.80
O (0.6709, 0.7678, 0.7678)  1 V 1.84
O (0.6709, 0.7678, 0.2322)  1 V 1.84

Output
Crystal system = tetragonal
Electronic total energy = -7.413 eV/atom